Entry 1:
Below is an optimized crystal structure of LiTbPt4, with properties calculated at the PBE level.

Values from the calculation:
DOS(E_F) (states/eV/cell): 5.77
SG: F-43m
Formation energy (eV per atom): -0.875
Energy (eV per atom): -5.99

Unit cell a=5.3540 b=5.3540 c=5.3540 alpha=60.00 beta=60.00 gamma=60.00
With the nearest neighbours (Å) after each atom.
Fractional positions:
Li (0.0000, 0.0000, 0.0000)  12 Pt 3.14, 4 Tb 3.28
Tb (0.2500, 0.2500, 0.2500)  12 Pt 3.14, 4 Li 3.28
Pt (0.1238, 0.6254, 0.6254)  6 Pt 2.67-2.69
Pt (0.6254, 0.1238, 0.6254)  6 Pt 2.67-2.69
Pt (0.6254, 0.6254, 0.1238)  6 Pt 2.67-2.69
Pt (0.6254, 0.6254, 0.6254)  6 Pt 2.67-2.69


Entry 2:
Below is an optimized crystal structure of SiP2Ru, with properties calculated at the PBE level.

Values from the calculation:
DOS(E_F) (states/eV/cell): 0.67
SG: Cm
Energy (eV per atom): -6.55
ΔE_f (raw) (eV per atom): -0.17

Unit cell a=4.4353 b=4.4353 c=4.8224 alpha=103.35 beta=103.35 gamma=43.63
With the nearest neighbours (Å) after each atom.
Fractional positions:
Si (0.0000, 0.0000, 0.0000)  3 P 2.24-2.28, 1 Ru 2.38
P (0.3112, 0.3112, 0.9437)  2 Si 2.24, 2 Ru 2.49-2.50
P (0.9490, 0.9490, 0.5130)  1 Si 2.28, 3 Ru 2.39-2.51
Ru (0.2326, 0.2326, 0.4094)  1 Si 2.38, 5 P 2.39-2.51


Entry 3:
Below is an optimized crystal structure of Sc2MnHg, with properties calculated at the PBE level.

Values from the calculation:
DOS(E_F) (states/eV/cell): 5.78
SG: F-43m
Formation energy (eV per atom): 0.005
Energy (eV per atom): -5.53

Unit cell a=4.7801 b=4.7801 c=4.7801 alpha=60.00 beta=60.00 gamma=60.00
With the nearest neighbours (Å) after each atom.
Fractional positions:
Sc (0.0000, 0.0000, 0.0000)  4 Mn 2.93, 4 Sc 2.93
Sc (0.2500, 0.2500, 0.2500)  4 Hg 2.93, 4 Sc 2.93
Mn (0.7500, 0.7500, 0.7500)  4 Hg 2.93, 4 Sc 2.93
Hg (0.5000, 0.5000, 0.5000)  4 Mn 2.93, 4 Sc 2.93


Entry 4:
Below is an optimized crystal structure of TlSb3Mo, with properties calculated at the PBE level.

Values from the calculation:
DOS(E_F) (states/eV/cell): 3.34
SG: Pm-3m
ΔE to the lowest computed polymorph (eV/atom): 0.000
Energy (eV per atom): -4.75
ΔE_f (raw) (eV per atom): 0.37

Unit cell a=5.3192 b=5.3192 c=5.3192 alpha=90.00 beta=90.00 gamma=90.00
With the nearest neighbours (Å) after each atom.
Fractional positions:
Tl (0.0000, 0.0000, 0.0000)  12 Sb 3.76
Sb (0.0000, 0.5000, 0.5000)  2 Mo 2.66
Sb (0.5000, 0.0000, 0.5000)  2 Mo 2.66
Sb (0.5000, 0.5000, 0.0000)  2 Mo 2.66
Mo (0.5000, 0.5000, 0.5000)  6 Sb 2.66


Entry 5:
Below is an optimized crystal structure of CrSb2Te, with properties calculated at the PBE level.

Values from the calculation:
DOS(E_F) (states/eV/cell): 2.18
SG: Cm
ΔE to the lowest computed polymorph (eV/atom): 0.070
Energy (eV per atom): -5.09
ΔE_f (raw) (eV per atom): 0.17

Unit cell a=5.0382 b=5.0382 c=6.4448 alpha=107.81 beta=107.81 gamma=38.81
With the nearest neighbours (Å) after each atom.
Fractional positions:
Cr (0.0000, 0.0000, 0.0000)  5 Sb 2.67-2.73, 2 Te 2.67
Sb (0.2791, 0.2791, 0.9890)  3 Cr 2.67-2.68
Sb (0.4359, 0.4359, 0.6459)  2 Cr 2.73, 1 Sb 3.04
Te (0.6256, 0.6256, 0.3311)  2 Cr 2.67


Entry 6:
Below is an optimized crystal structure of Mn2ReSb, with properties calculated at the PBE level.

Values from the calculation:
DOS(E_F) (states/eV/cell): 3.44
SG: Cm
Energy (eV per atom): -8.43
ΔE_f (raw) (eV per atom): 0.30

Unit cell a=4.6211 b=4.6211 c=4.7173 alpha=100.35 beta=100.35 gamma=38.19
With the nearest neighbours (Å) after each atom.
Fractional positions:
Mn (0.0000, 0.0000, 0.0000)  2 Re 2.57, 3 Mn 2.63-2.71, 3 Sb 2.65-2.77
Mn (0.2501, 0.2501, 0.7643)  3 Re 2.59-2.65, 3 Mn 2.63-2.71, 4 Sb 2.76-2.84
Re (0.5133, 0.5133, 0.5642)  5 Mn 2.57-2.65, 3 Sb 2.78-2.87
Sb (0.7546, 0.7546, 0.2551)  7 Mn 2.65-2.84, 3 Re 2.78-2.87


Entry 7:
Below is an optimized crystal structure of TcHg2Ru4, with properties calculated at the PBE level.

Values from the calculation:
DOS(E_F) (states/eV/cell): 8.56
SG: I4/mmm
Formation energy (eV per atom): 1.426
Energy (eV per atom): -5.44

Unit cell a=7.6200 b=7.6200 c=7.6200 alpha=144.53 beta=144.53 gamma=51.03
With the nearest neighbours (Å) after each atom.
Fractional positions:
Tc (0.0000, 0.0000, 0.0000)  6 Ru 2.32
Hg (0.3683, 0.3683, 0.0000)  5 Ru 2.75-2.94
Hg (0.6317, 0.6317, 0.0000)  5 Ru 2.75-2.94
Ru (0.0000, 0.5000, 0.5000)  2 Tc 2.32
Ru (0.1686, 0.1686, 0.0000)  1 Tc 2.32
Ru (0.5000, 0.0000, 0.5000)  2 Tc 2.32
Ru (0.8314, 0.8314, 0.0000)  1 Tc 2.32


Entry 8:
Below is an optimized crystal structure of ZrNpPb2O6, with properties calculated at the PBE level.

Values from the calculation:
DOS(E_F) (states/eV/cell): 9.64
SG: C2/m
Energy (eV per atom): -8.16
ΔE_f (raw) (eV per atom): -2.29

Unit cell a=5.9645 b=5.9645 c=6.1228 alpha=120.09 beta=120.09 gamma=60.85
With the nearest neighbours (Å) after each atom.
Fractional positions:
Zr (0.0000, 0.0000, 0.0000)  6 O 2.13-2.14
Np (0.5000, 0.5000, 0.5000)  6 O 2.18-2.26
Pb (0.2531, 0.2531, 0.7823)  5 O 2.59-2.72
Pb (0.7469, 0.7469, 0.2177)  5 O 2.59-2.72
O (0.1907, 0.6990, 0.1867)  1 Zr 2.14, 1 Np 2.26
O (0.2459, 0.2459, 0.3309)  1 Zr 2.13, 1 Np 2.18
O (0.3010, 0.8093, 0.8133)  1 Zr 2.14, 1 Np 2.26
O (0.6990, 0.1907, 0.1867)  1 Zr 2.14, 1 Np 2.26
O (0.7541, 0.7541, 0.6691)  1 Zr 2.13, 1 Np 2.18
O (0.8093, 0.3010, 0.8133)  1 Zr 2.14, 1 Np 2.26